1.
Material: YTmPS
Method: DFT, PBE
State: optimized geometry Values from VASP.

The structure in Quantum ESPRESSO input format:
```
&SYSTEM
  ibrav = 0, nat = 4, ntyp = 4
/
ATOMIC_SPECIES
Y 88.91 Y.upf
Tm 168.93 Tm.upf
P 30.97 P.upf
S 32.06 S.upf
ATOMIC_POSITIONS angstrom
Y 0.0000 0.0000 0.0000
Tm 0.0000 0.0000 9.7944
P 0.0000 0.0000 4.8639
S 0.0000 0.0000 14.6045
CELL_PARAMETERS angstrom
1.9661 1.1351 6.4482
-1.9661 1.1351 6.4482
0.0000 -2.2702 6.4482
```

Properties
formation energy (no corrections): -1.859 eV per atom
magnetization: 0.0 μB per formula unit
SG: No. 160

=====

2.
Material: Dy3Er2Tm7
Method: DFT, PBE
State: optimized geometry Values from VASP.

The structure in Quantum ESPRESSO input format:
```
&SYSTEM
  ibrav = 0, nat = 12, ntyp = 3
/
ATOMIC_SPECIES
Dy 162.50 Dy.upf
Er 167.26 Er.upf
Tm 168.93 Tm.upf
ATOMIC_POSITIONS angstrom
Dy 0.0000 0.0000 0.0000
Dy 2.8674 12.8497 0.0000
Dy 2.8674 -12.8497 0.0000
Er 2.8674 6.4496 1.7706
Er 2.8674 -6.4496 1.7706
Tm 2.8674 15.6965 1.7706
Tm 2.8674 9.9301 1.7706
Tm 2.8674 3.3088 0.0000
Tm 2.8674 0.0000 1.7706
Tm 2.8674 -3.3088 0.0000
Tm 2.8674 -9.9301 1.7706
Tm 2.8674 -15.6965 1.7706
CELL_PARAMETERS angstrom
2.8674 -18.3724 0.0000
2.8674 18.3724 0.0000
0.0000 0.0000 3.5411
```

Properties
energy above the most stable polymorph in this dataset: 97 kJ/mol of formula units
energy of formation from the pure elements: 0.1689 eV per atom
magnetization: 0.0 μB per formula unit
SG: No. 65

=====

3.
Material: Pr4Sm2ErSc
Method: DFT, PBE
State: optimized geometry Values from VASP.

The structure in Quantum ESPRESSO input format:
```
&SYSTEM
  ibrav = 0, nat = 8, ntyp = 4
/
ATOMIC_SPECIES
Pr 140.91 Pr.upf
Sm 150.36 Sm.upf
Er 167.26 Er.upf
Sc 44.96 Sc.upf
ATOMIC_POSITIONS angstrom
Pr 0.0000 0.0000 2.4666
Pr 0.0000 0.0000 7.5866
Pr 2.5659 2.5771 2.4756
Pr 2.5659 2.5771 7.5776
Sm 0.0000 2.5771 0.0000
Sm 2.5659 0.0000 5.0266
Er 0.0000 2.5771 5.0266
Sc 2.5659 0.0000 0.0000
CELL_PARAMETERS angstrom
5.1319 0.0000 0.0000
0.0000 5.1542 0.0000
0.0000 0.0000 10.0532
```

Properties
energy of formation from the pure elements: 0.0291 eV per atom
magnetization: 0.0 μB per formula unit
SG: No. 47

=====

Total DFT energy (no corrections) values (in eV/cell) by entry order: -27.9; -52.2; -39.2.